(1)
La3PbSBr | GGA-PBE | optimized geometry

N(E_F): 0.635 states/eV/atom
Formation energy from raw total energies: -1.316 eV/atom
Energy: -5.3646 eV per atom

Unit cell a=4.3950 b=8.2841 c=11.3122 alpha=113.42 beta=90.00 gamma=90.00
Last column: nearest neighbours and their distance in Å.
Element x y z (fractional)
1 La 0.7500 0.4849 0.1596  3 S 2.81-2.97, 1 Br 3.11
2 Pb 0.2500 0.2623 0.2550  7 La 3.31-3.65
3 Pb 0.7500 0.7377 0.7450  7 La 3.31-3.65
4 Br 0.7500 0.8560 0.3835  5 La 3.11-3.37
5 S 0.2500 0.6915 0.1102  5 La 2.81-2.97
6 S 0.7500 0.3085 0.8898  5 La 2.81-2.97
7 La 0.2500 0.0736 0.8843  2 S 2.92
8 La 0.7500 0.9264 0.1157  2 S 2.92
9 La 0.2500 0.7022 0.5130  3 Br 3.17-3.37, 2 Pb 3.35
10 Br 0.2500 0.1440 0.6165  5 La 3.11-3.37
11 La 0.7500 0.2978 0.4870  3 Br 3.17-3.37, 2 Pb 3.35
12 La 0.2500 0.5151 0.8404  3 S 2.81-2.97, 1 Br 3.11

***

(2)
La3SbPbBr | GGA-PBE | optimized geometry

N(E_F): 0.665 states/eV/atom
Formation energy from raw total energies: -1.084 eV/atom
Energy: -5.1312 eV per atom

Unit cell a=4.5435 b=7.9463 c=11.8768 alpha=102.17 beta=90.00 gamma=90.00
Last column: nearest neighbours and their distance in Å.
Element x y z (fractional)
1 La 0.2500 0.4583 0.8325  1 Br 3.21, 3 Sb 3.27, 2 Pb 3.40
2 La 0.2500 0.7188 0.5024  3 Br 3.15-3.24, 3 Pb 3.29-3.32
3 Sb 0.2500 0.7647 0.0641  6 La 3.24-3.27
4 La 0.2500 0.9452 0.8434  1 Br 3.18, 3 Sb 3.24-3.26, 2 Pb 3.48
5 Sb 0.7500 0.2354 0.9359  6 La 3.24-3.27
6 Br 0.2500 0.1233 0.6275  5 La 3.15-3.24
7 Pb 0.7500 0.6526 0.6892  7 La 3.29-3.48
8 La 0.7500 0.2812 0.4976  3 Br 3.15-3.24, 3 Pb 3.29-3.32
9 Br 0.7500 0.8767 0.3725  5 La 3.15-3.24
10 La 0.7500 0.0548 0.1566  1 Br 3.18, 3 Sb 3.24-3.26, 2 Pb 3.48
11 Pb 0.2500 0.3474 0.3108  7 La 3.29-3.48
12 La 0.7500 0.5417 0.1675  1 Br 3.21, 3 Sb 3.27, 2 Pb 3.40

***

(3)
LaSbPbBr2 | GGA-PBE | optimized geometry

N(E_F): 0.422 states/eV/atom
Formation energy from raw total energies: -0.348 eV/atom
Energy: -3.5689 eV per atom

Unit cell a=5.3576 b=5.9407 c=5.3576 alpha=90.00 beta=90.00 gamma=90.00
Last column: nearest neighbours and their distance in Å.
Element x y z (fractional)
1 Br 0.5000 0.0000 0.0000  2 Pb 2.68
2 La 0.5000 0.5000 0.5000  4 Sb 3.79, 8 Br 4.00
3 Pb 0.0000 0.0000 0.0000  4 Br 2.68, 2 Sb 2.97
4 Sb 0.0000 0.5000 0.0000  2 Pb 2.97
5 Br 0.0000 0.0000 0.5000  2 Pb 2.68

***

(4)
LaPbSeBr2 | GGA-PBE | optimized geometry

N(E_F): 1.462 states/eV/atom
Formation energy from raw total energies: -0.521 eV/atom
Energy: -3.6145 eV per atom
Excess energy over the best structure of this formula in the dataset: 11.343 kcal/mol of atoms

Unit cell a=5.6593 b=5.6593 c=5.8075 alpha=90.00 beta=90.00 gamma=90.00
Last column: nearest neighbours and their distance in Å.
Element x y z (fractional)
1 La 0.5000 0.5000 0.5000  4 Se 4.00, 8 Br 4.05
2 Se 0.0000 0.0000 0.5000  2 Pb 2.90
3 Br 0.5000 0.0000 0.0000  2 Pb 2.83
4 Br 0.0000 0.5000 0.0000  2 Pb 2.83
5 Pb 0.0000 0.0000 0.0000  4 Br 2.83, 2 Se 2.90

***

(5)
La4Pb2SeBr | GGA-PBE | optimized geometry

N(E_F): 0.379 states/eV/atom
Formation energy from raw total energies: -1.141 eV/atom
Energy: -5.1765 eV per atom

Unit cell a=4.6136 b=7.6404 c=7.9935 alpha=69.67 beta=90.00 gamma=90.00
Last column: nearest neighbours and their distance in Å.
Element x y z (fractional)
1 La 0.0000 0.2568 0.2407  2 Se 3.16, 3 Pb 3.19-3.26, 1 Br 3.23
2 La 0.5000 0.2515 0.7574  1 Se 3.15, 3 Pb 3.19-3.27, 2 Br 3.23
3 Br 0.0000 0.5000 0.5000  6 La 3.23
4 Pb 0.5000 0.0000 0.5000  6 La 3.26-3.27
5 La 0.0000 0.7432 0.7593  2 Se 3.16, 3 Pb 3.19-3.26, 1 Br 3.23
6 La 0.5000 0.7485 0.2426  1 Se 3.15, 3 Pb 3.19-3.27, 2 Br 3.23
7 Se 0.5000 0.5000 0.0000  6 La 3.15-3.16
8 Pb 0.0000 0.0000 0.0000  6 La 3.19

***

(6)
LaPbSe2Br | GGA-PBE | optimized geometry

N(E_F): 1.120 states/eV/atom
Formation energy from raw total energies: -0.561 eV/atom
Energy: -4.0162 eV per atom
Excess energy over the best structure of this formula in the dataset: 7.310 kcal/mol of atoms

Unit cell a=5.5891 b=5.5891 c=5.4708 alpha=90.00 beta=90.00 gamma=90.00
Last column: nearest neighbours and their distance in Å.
Element x y z (fractional)
1 La 0.5000 0.5000 0.5000  8 Se 3.91, 4 Br 3.95
2 Se 0.5000 0.0000 0.0000  2 Pb 2.79
3 Se 0.0000 0.5000 0.0000  2 Pb 2.79
4 Br 0.0000 0.0000 0.5000  2 Pb 2.74
5 Pb 0.0000 0.0000 0.0000  2 Br 2.74, 4 Se 2.79

***

(7)
LaPbSeBr2 | GGA-PBE | optimized geometry

N(E_F): 0.489 states/eV/atom
Formation energy from raw total energies: -1.013 eV/atom
Energy: -4.1064 eV per atom
Excess energy over the best structure of this formula in the dataset: 0.000 kcal/mol of atoms

Unit cell a=5.8094 b=5.8094 c=5.8101 alpha=90.00 beta=90.00 gamma=90.00
Last column: nearest neighbours and their distance in Å.
Element x y z (fractional)
1 Br 0.0000 0.5000 0.0000  2 La 2.90
2 La 0.0000 0.0000 0.0000  4 Br 2.90, 2 Se 2.91
3 Pb 0.5000 0.5000 0.5000  4 Se 4.11, 8 Br 4.11
4 Se 0.0000 0.0000 0.5000  2 La 2.91
5 Br 0.5000 0.0000 0.0000  2 La 2.90

***

(8)
LaPbSe2Br | GGA-PBE | optimized geometry

N(E_F): 0.088 states/eV/atom
Formation energy from raw total energies: -0.878 eV/atom
Energy: -4.3332 eV per atom
Excess energy over the best structure of this formula in the dataset: 0.000 kcal/mol of atoms

Unit cell a=5.7893 b=5.7893 c=5.6366 alpha=90.00 beta=90.00 gamma=90.00
Last column: nearest neighbours and their distance in Å.
Element x y z (fractional)
1 Pb 0.5000 0.5000 0.5000  8 Se 4.04, 4 Br 4.09
2 La 0.0000 0.0000 0.0000  2 Br 2.82, 4 Se 2.89
3 Se 0.0000 0.5000 0.0000  2 La 2.89
4 Se 0.5000 0.0000 0.0000  2 La 2.89
5 Br 0.0000 0.0000 0.5000  2 La 2.82